The following is a PBE calculation of a relaxed Ce2HfNbN5 crystal, from Alexandria via LeMat-Bulk.

Geometry as POSCAR:
```
Ce2HfNbN5
1.0
-3.389 -0.159 0.236
2.261 -3.267 5.762
-0.065 9.144 5.210
Ce Hf Nb N
4 2 2 10
Cartesian
-1.343 4.749 8.407
0.081 5.590 4.915
0.145 1.669 3.200
-1.267 -0.921 5.696
-1.408 2.668 6.075
0.247 -1.396 2.600
-1.731 8.585 5.426
0.509 1.065 8.022
0.423 -2.479 4.405
-1.543 6.721 6.861
0.506 3.844 9.851
0.273 4.107 6.677
-1.227 2.037 8.257
-1.584 3.667 4.222
0.333 1.348 5.686
-1.704 2.430 1.674
-1.454 -0.164 3.521
0.058 0.157 0.943
```

Results
Energy   -9.569 eV per atom